1.
The following is a DFT calculation (PBE) of an optimized crystal structure of BaIrN.

Results
Formation energy from raw total energies   0.103 eV/atom

Cell: 6.0452 6.0452 6.0452 Å, 90.00 90.00 90.00°
Last column: nearest neighbours and their distance in Å.
Space group P2_13 (No. 198)
Inequivalent atoms, fractional coordinates:
Ba1 0.1471 0.1471 0.1471  4 N 2.74-3.06
Ir1 0.1499 0.3501 0.6499  3 N 2.17
N1 0.0911 0.5911 0.9089  3 Ir 2.17

=====

2.
The following is a DFT calculation (PBE) of an optimized crystal structure of RbNpS2O.

Results
Formation energy from raw total energies   -1.710 eV/atom

Cell: 7.8183 4.0729 9.0176 Å, 90.00 106.40 90.00°
Last column: nearest neighbours and their distance in Å.
Space group P2_1/m (No. 11)
Inequivalent atoms, fractional coordinates:
Rb1 0.1948 0.2500 0.3163  2 O 2.86
Np1 0.3202 0.2500 0.8295  1 O 1.86
S1 0.3277 0.7500 0.0385  3 Np 2.67-2.76
S2 0.3441 0.7500 0.6477  2 Np 2.65
O1 0.0724 0.2500 0.7687  1 Np 1.86

=====

3.
The following is a DFT calculation (PBE) of an optimized crystal structure of K2HfVRu.

Results
Calculated total energy   -4.00 eV/atom

Cell: 5.5397 5.5397 4.9993 Å, 90.00 90.00 90.00°
Last column: nearest neighbours and their distance in Å.
Space group P4/mmm (No. 123)
Inequivalent atoms, fractional coordinates:
K1 0.0000 0.5000 0.0000  2 V 2.77
Hf1 0.0000 0.0000 0.5000  2 V 2.50
V1 0.0000 0.0000 0.0000  2 Hf 2.50, 4 K 2.77
Ru1 0.5000 0.5000 0.5000  8 K 3.73, 4 Hf 3.92

=====

4.
The following is a DFT calculation (PBE) of an optimized crystal structure of MgCrWS4.

Results
Formation energy from raw total energies   -0.733 eV/atom

Cell: 12.4558 7.3992 6.8774 Å, 90.00 122.65 90.00°
Last column: nearest neighbours and their distance in Å.
Space group Cm (No. 8)
Inequivalent atoms, fractional coordinates:
Mg1 0.0000 0.0000 0.0000  4 S 2.36-2.43
Mg2 0.2433 0.0000 0.7499  4 S 2.45-2.47
Cr1 0.3918 0.2400 0.3952  6 S 2.42-2.46
W1 0.1353 0.5000 0.9343  6 S 2.38-2.60
W2 0.1384 0.5000 0.3389  6 S 2.39-2.60
S1 0.1250 0.2855 0.6251  1 Mg 2.45, 1 Cr 2.45, 2 W 2.60
S2 0.1587 0.2390 0.1565  2 W 2.38-2.39, 1 Mg 2.43, 1 Cr 2.45
S3 0.3706 0.5000 0.1544  1 Mg 2.36, 2 Cr 2.46, 1 W 2.47
S4 0.3736 0.5000 0.5916  1 Mg 2.37, 2 Cr 2.43, 1 W 2.47
S5 0.4041 0.0000 0.6453  2 Cr 2.42, 1 W 2.46, 1 Mg 2.47
S6 0.4051 0.0000 0.1685  2 Cr 2.43, 1 Mg 2.47, 1 W 2.48

=====

5.
The following is a DFT calculation (PBE) of an optimized crystal structure of MnBeRh.

Results
Energy relative to the lowest polymorph listed for this composition   158 meV/atom

Cell: 4.0815 4.9392 7.0669 Å, 90.00 90.00 90.00°
Last column: nearest neighbours and their distance in Å.
Space group Pmn2_1 (No. 31)
Inequivalent atoms, fractional coordinates:
Mn1 0.0000 0.0483 0.0000  5 Be 2.36-2.51, 3 Rh 2.57-2.58
Mn2 0.0000 0.2729 0.6482  5 Rh 2.45-2.65, 4 Be 2.50-2.74, 1 Mn 2.72
Be1 0.0000 0.0409 0.3342  4 Mn 2.36-2.50, 4 Rh 2.40-2.54
Be2 0.0000 0.5397 0.9876  4 Rh 2.38-2.44, 4 Mn 2.43-2.51
Rh1 0.0000 0.5558 0.3289  5 Be 2.38-2.54, 3 Mn 2.55-2.65
Rh2 0.0000 0.7805 0.6862  3 Be 2.44-2.46, 5 Mn 2.45-2.58

=====

6.
The following is a DFT calculation (PBE) of an optimized crystal structure of VCrSi2B.

Results
Formation energy from raw total energies   0.572 eV/atom

Cell: 3.9689 3.9689 3.8901 Å, 90.00 90.00 90.00°
Last column: nearest neighbours and their distance in Å.
Space group P4/mmm (No. 123)
Inequivalent atoms, fractional coordinates:
V1 0.0000 0.0000 0.0000  2 B 1.95
Cr1 0.5000 0.5000 0.0000  8 Si 2.78, 4 V 2.81
Si1 0.0000 0.5000 0.5000  2 B 1.98
B1 0.0000 0.0000 0.5000  2 V 1.95, 4 Si 1.98

=====

7.
The following is a DFT calculation (PBE) of an optimized crystal structure of Cs2BiBr7.

Results
Formation energy from raw total energies   -0.962 eV/atom

Cell: 8.1073 8.1073 12.8813 Å, 90.00 90.00 90.00°
Last column: nearest neighbours and their distance in Å.
Space group I4/mmm (No. 139)
Inequivalent atoms, fractional coordinates:
Cs1 0.0000 0.5000 0.2500  12 Br 4.07-4.31
Bi1 0.0000 0.0000 0.0000  6 Br 2.81-2.84
Br1 0.0000 0.0000 0.2207  1 Bi 2.84
Br2 0.0000 0.0000 0.5000  4 Br 2.92
Br3 0.2452 0.2452 0.0000  1 Bi 2.81, 1 Br 2.92

=====

8.
The following is a DFT calculation (PBE) of an optimized crystal structure of Ag2H2Pd.

Results
Energy relative to the lowest polymorph listed for this composition   0 meV/atom

Cell: 2.8237 4.8672 5.0573 Å, 63.11 73.89 89.94°
Last column: nearest neighbours and their distance in Å.
Space group P-1 (No. 2)
Inequivalent atoms, fractional coordinates:
Ag1 0.1877 0.1783 0.1258  3 H 2.25-2.35
H1 0.4287 0.6332 0.6427  2 Pd 1.82
Pd1 0.0000 0.5000 0.5000  4 H 1.82

=====

Q: Which formula does entry 6 have?
A: VCrSi2B

=====

What did the fourth record say?
The following is a DFT calculation (PBE) of an optimized crystal structure of MgCrWS4.

Results
Formation energy from raw total energies   -0.733 eV/atom

Cell: 12.4558 7.3992 6.8774 Å, 90.00 122.65 90.00°
Last column: nearest neighbours and their distance in Å.
Space group Cm (No. 8)
Inequivalent atoms, fractional coordinates:
Mg1 0.0000 0.0000 0.0000  4 S 2.36-2.43
Mg2 0.2433 0.0000 0.7499  4 S 2.45-2.47
Cr1 0.3918 0.2400 0.3952  6 S 2.42-2.46
W1 0.1353 0.5000 0.9343  6 S 2.38-2.60
W2 0.1384 0.5000 0.3389  6 S 2.39-2.60
S1 0.1250 0.2855 0.6251  1 Mg 2.45, 1 Cr 2.45, 2 W 2.60
S2 0.1587 0.2390 0.1565  2 W 2.38-2.39, 1 Mg 2.43, 1 Cr 2.45
S3 0.3706 0.5000 0.1544  1 Mg 2.36, 2 Cr 2.46, 1 W 2.47
S4 0.3736 0.5000 0.5916  1 Mg 2.37, 2 Cr 2.43, 1 W 2.47
S5 0.4041 0.0000 0.6453  2 Cr 2.42, 1 W 2.46, 1 Mg 2.47
S6 0.4051 0.0000 0.1685  2 Cr 2.43, 1 Mg 2.47, 1 W 2.48